No. 1
# TiBe2ReAu

An optimized crystal structure of TiBe2ReAu (PBE-GGA, the Alexandria database).

The value obtained for the formation energy is 1.0329 eV per atom. The energy is -25.91 eV for the cell shown. The calculation puts the magnetic moment at 0.001 μB/f.u.

The space group is P4/mmm (No. 123) and the conventional cell measures 4.1130, 4.1130 and 5.0979 Å, with angles of 90.00, 90.00 and 90.00 degrees. The asymmetric unit holds Ti at (0.0000, 0.0000, 0.0000), Be at (0.0000, 0.5000, 0.5000), Re at (0.5000, 0.5000, 0.0000) and Au at (0.5000, 0.5000, 0.5000).



No. 2
# Be4RhAu

An optimized crystal structure of Be4RhAu (PBE-GGA, the Alexandria database).

The value obtained for the formation energy is -0.2783 eV per atom. The energy is -108.81 eV for the cell shown. The calculation puts the magnetic moment at 0.000 μB/f.u.

The space group is F-43m (No. 216) and the conventional cell measures 6.3001, 6.3001 and 6.3001 Å, with angles of 90.00, 90.00 and 90.00 degrees. The asymmetric unit holds Be at (0.1244, 0.1244, 0.1244), Rh at (0.2500, 0.2500, 0.7500) and Au at (0.0000, 0.0000, 0.5000).



No. 3
# BeRh2Au

An optimized crystal structure of BeRh2Au (PBE-GGA, the Alexandria database).

The value obtained for the formation energy is -0.2025 eV per atom. The energy is -22.52 eV for the cell shown. The calculation puts the magnetic moment at 0.000 μB/f.u.

The space group is P4/mmm (No. 123) and the conventional cell measures 2.7913, 2.7913 and 6.9234 Å, with angles of 90.00, 90.00 and 90.00 degrees. The asymmetric unit holds Be at (0.0000, 0.0000, 0.0000), Rh at (0.5000, 0.5000, 0.1954) and Au at (0.0000, 0.0000, 0.5000).



No. 4
# Be2RhAu2

An optimized crystal structure of Be2RhAu2 (PBE-GGA, the Alexandria database).

The value obtained for the formation energy is -0.1598 eV per atom. The energy is -44.32 eV for the cell shown. The calculation puts the magnetic moment at 0.000 μB/f.u.

The space group is P4/mbm (No. 127) and the conventional cell measures 6.5751, 6.5751 and 3.0378 Å, with angles of 90.00, 90.00 and 90.00 degrees. The asymmetric unit holds Be at (0.1395, 0.3605, 0.0000), Rh at (0.0000, 0.0000, 0.0000) and Au at (0.1591, 0.6591, 0.5000).



No. 5
# BeRhAu3

An optimized crystal structure of BeRhAu3 (PBE-GGA, the Alexandria database).

The value obtained for the formation energy is 0.3627 eV per atom. The energy is -19.10 eV for the cell shown. The calculation puts the magnetic moment at 0.000 μB/f.u.

The space group is Pm-3m (No. 221) and the conventional cell measures 4.3596, 4.3596 and 4.3596 Å, with angles of 90.00, 90.00 and 90.00 degrees. The asymmetric unit holds Be at (0.0000, 0.0000, 0.0000), Rh at (0.5000, 0.5000, 0.5000) and Au at (0.0000, 0.0000, 0.5000).



No. 6
# BeRh2Au

An optimized crystal structure of BeRh2Au (PBE-GGA, the Alexandria database).

The value obtained for the formation energy is -0.0862 eV per atom. The energy is -44.10 eV for the cell shown. The calculation puts the magnetic moment at 0.000 μB/f.u.

The space group is Cm (No. 8) and the conventional cell measures 8.8986, 2.8542 and 5.0360 Å, with angles of 90.00, 119.93 and 90.00 degrees. The asymmetric unit holds Be at (0.0000, 0.0000, 0.0000), Rh at (0.1657, 0.5000, 0.3969), Rh at (0.4586, 0.0000, 0.6228) and Au at (0.2774, 0.0000, 0.9834).



No. 7
# Be2Rh2Au

An optimized crystal structure of Be2Rh2Au (PBE-GGA, the Alexandria database).

The value obtained for the formation energy is -0.1656 eV per atom. The energy is -52.52 eV for the cell shown. The calculation puts the magnetic moment at 0.000 μB/f.u.

The space group is P4/mbm (No. 127) and the conventional cell measures 6.8565, 6.8565 and 2.7545 Å, with angles of 90.00, 90.00 and 90.00 degrees. The asymmetric unit holds Be at (0.1570, 0.3430, 0.0000), Rh at (0.1368, 0.6368, 0.5000) and Au at (0.0000, 0.0000, 0.5000).



No. 8
# BeRh2Au2

An optimized crystal structure of BeRh2Au2 (PBE-GGA, the Alexandria database).

The value obtained for the formation energy is 0.1107 eV per atom. The energy is -48.86 eV for the cell shown. The calculation puts the magnetic moment at 0.069 μB/f.u.

The space group is P4/mbm (No. 127) and the conventional cell measures 5.8431, 5.8431 and 4.5191 Å, with angles of 90.00, 90.00 and 90.00 degrees. The asymmetric unit holds Be at (0.0000, 0.0000, 0.0000), Rh at (0.1503, 0.3497, 0.0000) and Au at (0.1697, 0.6697, 0.5000).



No. 9
# BeRh2Au

An optimized crystal structure of BeRh2Au (PBE-GGA, the Alexandria database).

The value obtained for the formation energy is -0.0398 eV per atom. The energy is -43.73 eV for the cell shown. The calculation puts the magnetic moment at 0.024 μB/f.u.

The space group is Cmmm (No. 65) and the conventional cell measures 2.9080, 4.6282 and 8.2986 Å, with angles of 90.00, 90.00 and 90.00 degrees. The asymmetric unit holds Be at (0.0000, 0.0000, 0.0000), Rh at (0.0000, 0.5000, 0.2036) and Au at (0.0000, 0.0000, 0.5000).



No. 10
# BeRh2Au

An optimized crystal structure of BeRh2Au (PBE-GGA, the Alexandria database).

The value obtained for the formation energy is 0.0327 eV per atom. The energy is -43.15 eV for the cell shown. The calculation puts the magnetic moment at 0.895 μB/f.u.

The space group is I-4m2 (No. 119) and the conventional cell measures 3.8609, 3.8609 and 7.5446 Å, with angles of 90.00, 90.00 and 90.00 degrees. The asymmetric unit holds Be at (0.0000, 0.0000, 0.0000), Rh at (0.0000, 0.0000, 0.5000), Rh at (0.0000, 0.5000, 0.7500) and Au at (0.0000, 0.5000, 0.2500).



No. 11
# BeRh2Au

An optimized crystal structure of BeRh2Au (PBE-GGA, the Alexandria database).

The value obtained for the formation energy is 0.0993 eV per atom. The energy is -21.31 eV for the cell shown. The calculation puts the magnetic moment at 0.000 μB/f.u.

The space group is Pmmm (No. 47) and the conventional cell measures 2.8241, 4.4731 and 4.4913 Å, with angles of 90.00, 90.00 and 90.00 degrees. The asymmetric unit holds Be at (0.0000, 0.0000, 0.0000), Rh at (0.0000, 0.5000, 0.5000), Rh at (0.5000, 0.0000, 0.5000) and Au at (0.5000, 0.5000, 0.0000).



No. 12
# BeRh2Au

An optimized crystal structure of BeRh2Au (PBE-GGA, the Alexandria database).

The value obtained for the formation energy is 0.1362 eV per atom. The energy is -84.65 eV for the cell shown. The calculation puts the magnetic moment at 1.048 μB/f.u.

The space group is F-43m (No. 216) and the conventional cell measures 6.1068, 6.1068 and 6.1068 Å, with angles of 90.00, 90.00 and 90.00 degrees. The asymmetric unit holds Be at (0.0000, 0.0000, 0.0000), Rh at (0.0000, 0.0000, 0.5000), Rh at (0.2500, 0.2500, 0.7500) and Au at (0.2500, 0.2500, 0.2500).



No. 13
# Be5RhAu4

An optimized crystal structure of Be5RhAu4 (PBE-GGA, the Alexandria database).

The value obtained for the formation energy is -0.2409 eV per atom. The energy is -41.50 eV for the cell shown. The calculation puts the magnetic moment at 0.000 μB/f.u.

The space group is P4/mmm (No. 123) and the conventional cell measures 2.9436, 2.9436 and 14.5244 Å, with angles of 90.00, 90.00 and 90.00 degrees. The asymmetric unit holds Be at (0.0000, 0.0000, 0.0000), Be at (0.0000, 0.0000, 0.2020), Be at (0.0000, 0.0000, 0.4172), Rh at (0.5000, 0.5000, 0.5000), Au at (0.5000, 0.5000, 0.1042) and Au at (0.5000, 0.5000, 0.3058).



No. 14
# BeRh2Au

An optimized crystal structure of BeRh2Au (PBE-GGA, the Alexandria database).

The value obtained for the formation energy is 0.0636 eV per atom. The energy is -42.90 eV for the cell shown. The calculation puts the magnetic moment at 0.000 μB/f.u.

The space group is I4/mmm (No. 139) and the conventional cell measures 3.8752, 3.8752 and 7.4798 Å, with angles of 90.00, 90.00 and 90.00 degrees. The asymmetric unit holds Be at (0.0000, 0.0000, 0.0000), Rh at (0.0000, 0.5000, 0.2500) and Au at (0.0000, 0.0000, 0.5000).